VASP calculation (SCAN) on a PBEsol-optimized structure of LiMg2Be.

The calculation puts the energy at -4.00 eV per atom. The value obtained for the spin magnetization is 0.034 Bohr magnetons per cell. The volume comes out at 66 Å³/cell. Its space group is Imm2 (44). The calculation puts the energy of formation from the pure elements at 0.68 eV per formula unit.

Unit cell a=3.2078 b=4.4923 c=5.3177 alpha=114.99 beta=107.55 gamma=90.00
Sites, in units of the cell vectors:
Be (0.4910, 0.4910, 0.9820)
Mg (0.0046, 0.0046, 0.0091)
Mg (0.2260, 0.7260, 0.4520)
Li (0.7784, 0.2784, 0.5568)

VASP calculation (SCAN) on a PBEsol-optimized structure of NaGa2AgAu.

The calculation puts the energy at -27.29 eV per atom. The value obtained for the spin magnetization is 0.000 Bohr magnetons per cell. The volume comes out at 121 Å³/cell. Its space group is P4/mmm (123). The calculation puts the energy of formation from the pure elements at 1.00 eV per formula unit.

Unit cell a=4.8213 b=4.8213 c=5.2126 alpha=90.00 beta=90.00 gamma=90.00
Sites, in units of the cell vectors:
Na (0.5000, 0.5000, 0.5000)
Au (0.0000, 0.0000, 0.5000)
Ga (0.0000, 0.5000, 0.0000)
Ga (0.5000, 0.0000, 0.0000)
Ag (0.0000, 0.0000, 0.0000)

VASP calculation (SCAN) on a PBEsol-optimized structure of Li2MgHg.

The calculation puts the energy at -19.78 eV per atom. For the energy above the most stable polymorph in this dataset, the calculation gives 0.1145 eV per atom. The value obtained for the spin magnetization is 0.012 Bohr magnetons per cell. The volume comes out at 72 Å³/cell. Its space group is P4/mmm (123). The calculation puts the energy of formation from the pure elements at -1.21 eV per formula unit.

Unit cell a=3.3455 b=3.3458 c=6.4458 alpha=90.00 beta=90.00 gamma=90.00
Sites, in units of the cell vectors:
Mg (0.5000, 0.5000, 0.0000)
Hg (0.5000, 0.5000, 0.5000)
Li (0.0000, 0.0000, 0.7236)
Li (0.0000, 0.0000, 0.2764)

VASP calculation (SCAN) on a PBEsol-optimized structure of CdSi2Tc.

Its formation energy without anion corrections is 0.302 eV per atom. The calculation puts the energy at -21.07 eV per atom. The value obtained for the spin magnetization is 0.001 Bohr magnetons per cell. The volume comes out at 63 Å³/cell. Its space group is R3m (160).

Unit cell a=2.9414 b=2.9414 c=8.5140 alpha=80.05 beta=80.05 gamma=60.00
Sites, in units of the cell vectors:
Cd (0.2485, 0.2485, 0.2544)
Si (0.0102, 0.0102, 0.9694)
Si (0.7532, 0.7532, 0.7405)
Tc (0.4881, 0.4881, 0.5357)

VASP calculation (SCAN) on a PBEsol-optimized structure of TcIrOF2.

Its formation energy without anion corrections is -0.127 eV per atom. The calculation puts the energy at -24.02 eV per atom. The value obtained for the spin magnetization is 2.502 Bohr magnetons per cell. The volume comes out at 63 Å³/cell. Its space group is P4/mmm (123).

Unit cell a=3.6809 b=4.1468 c=4.1468 alpha=90.00 beta=90.00 gamma=90.00
Sites, in units of the cell vectors:
Ir (0.5000, 0.5000, 0.5000)
Tc (0.0000, 0.0000, 0.0000)
O (0.5000, 0.0000, 0.0000)
F (0.0000, 0.0000, 0.5000)
F (0.0000, 0.5000, 0.0000)

VASP calculation (SCAN) on a PBEsol-optimized structure of ZnCrRe2.

The calculation puts the energy at -43.32 eV per atom. The value obtained for the spin magnetization is 0.000 Bohr magnetons per cell. The volume comes out at 55 Å³/cell. Its space group is Cmm2 (35). The calculation puts the energy of formation from the pure elements at 0.82 eV per formula unit.

Unit cell a=2.6171 b=2.6171 c=8.5913 alpha=90.00 beta=90.00 gamma=110.59
Sites, in units of the cell vectors:
Cr (0.5000, 0.5000, 0.2457)
Re (0.0000, 0.0000, 0.0130)
Re (0.5000, 0.5000, 0.7521)
Zn (0.0000, 0.0000, 0.4893)

VASP calculation (SCAN) on a PBEsol-optimized structure of BeAl2Tc.

The calculation puts the energy at -14.12 eV per atom. The value obtained for the spin magnetization is 0.858 Bohr magnetons per cell. The volume comes out at 51 Å³/cell. Its space group is I-4m2 (119). The calculation puts the energy of formation from the pure elements at -1.55 eV per formula unit.

Unit cell a=3.5915 b=3.5915 c=4.7221 alpha=112.35 beta=112.35 gamma=90.00
Sites, in units of the cell vectors:
Be (0.5000, 0.5000, 0.0000)
Tc (0.2500, 0.7500, 0.5000)
Al (0.0000, 0.0000, 0.0000)
Al (0.7500, 0.2500, 0.5000)

VASP calculation (SCAN) on a PBEsol-optimized structure of Ti3MoAs4.

The calculation puts the energy at -21.23 eV per atom. The value obtained for the spin magnetization is 0.007 Bohr magnetons per cell. The volume comes out at 131 Å³/cell. Its space group is P-3m1 (164). The calculation puts the energy of formation from the pure elements at -6.13 eV per formula unit.

Unit cell a=3.3756 b=3.3756 c=13.2849 alpha=90.00 beta=90.00 gamma=120.00
Sites, in units of the cell vectors:
Mo (0.0000, 0.0000, 0.0000)
As (0.6667, 0.3333, 0.1245)
As (0.6667, 0.3333, 0.6251)
As (0.3333, 0.6667, 0.8755)
As (0.3333, 0.6667, 0.3749)
Ti (0.0000, 0.0000, 0.5000)
Ti (0.0000, 0.0000, 0.7493)
Ti (0.0000, 0.0000, 0.2507)